Entry 1:
VASP calculation (SCAN) on a PBEsol-optimized structure of InTe2Br.

The calculation puts the total magnetization at 0.00 μB per cell. Its formation energy from raw total energies is -0.5 eV/f.u. Its energy above the most stable polymorph in this dataset is 2.00 kcal/mol of atoms.

a = 4.342 Å, b = 6.994 Å, c = 8.437 Å
α = 90.00°, β = 90.00°, γ = 90.00°
Element x y z (fractional)
1 In 0.000 0.000 0.000
2 In 0.500 0.500 0.000
3 Te 0.000 0.000 0.481
4 Te 0.000 0.500 0.267
5 Te 0.500 0.000 0.267
6 Te 0.500 0.500 0.481
7 Br 0.000 0.500 0.777
8 Br 0.500 0.000 0.777

=====

Entry 2:
VASP calculation (SCAN) on a PBEsol-optimized structure of InTe2Br.

The calculation puts the total magnetization at 0.00 μB per cell. Its formation energy from raw total energies is -0.9 eV/f.u. Its energy above the most stable polymorph in this dataset is 0.00 kcal/mol of atoms.

a = 3.909 Å, b = 4.548 Å, c = 13.203 Å
α = 90.00°, β = 90.00°, γ = 90.00°
Element x y z (fractional)
1 In 0.000 0.000 0.000
2 In 0.500 0.500 0.500
3 Te 0.000 0.500 0.273
4 Te 0.000 0.500 0.727
5 Te 0.500 0.000 0.227
6 Te 0.500 0.000 0.773
7 Br 0.000 0.000 0.500
8 Br 0.500 0.500 0.000

=====

Entry 3:
VASP calculation (SCAN) on a PBEsol-optimized structure of In4TeBr.

The calculation puts the total magnetization at 0.00 μB per cell. Its formation energy from raw total energies is -0.2 eV/f.u.

a = 6.198 Å, b = 6.198 Å, c = 6.198 Å
α = 60.00°, β = 60.00°, γ = 60.00°
Element x y z (fractional)
1 In 0.125 0.125 0.125
2 In 0.125 0.125 0.626
3 In 0.125 0.626 0.125
4 In 0.626 0.125 0.125
5 Te 0.750 0.750 0.750
6 Br 0.500 0.500 0.500

=====

Entry 4:
VASP calculation (SCAN) on a PBEsol-optimized structure of InTe2Br.

The calculation puts the total magnetization at 0.00 μB per cell. Its formation energy from raw total energies is -0.1 eV/f.u. Its energy above the most stable polymorph in this dataset is 4.41 kcal/mol of atoms.

a = 3.848 Å, b = 3.848 Å, c = 7.462 Å
α = 90.00°, β = 90.00°, γ = 90.00°
Element x y z (fractional)
1 In 0.000 0.000 0.000
2 Te 0.500 0.500 0.200
3 Te 0.500 0.500 0.800
4 Br 0.000 0.000 0.500

=====

Entry 5:
VASP calculation (SCAN) on a PBEsol-optimized structure of InTe2Br.

The calculation puts the total magnetization at 0.00 μB per cell. Its formation energy from raw total energies is 0.4 eV/f.u. Its energy above the most stable polymorph in this dataset is 7.45 kcal/mol of atoms.

a = 3.141 Å, b = 3.141 Å, c = 38.673 Å
α = 90.00°, β = 90.00°, γ = 120.00°
Element x y z (fractional)
1 In 0.000 0.000 0.000
2 In 0.333 0.667 0.667
3 In 0.667 0.333 0.333
4 Te 0.000 0.000 0.078
5 Te 0.000 0.000 0.922
6 Te 0.333 0.667 0.588
7 Te 0.333 0.667 0.745
8 Te 0.667 0.333 0.255
9 Te 0.667 0.333 0.412
10 Br 0.000 0.000 0.500
11 Br 0.333 0.667 0.167
12 Br 0.667 0.333 0.833

=====

Entry 6:
VASP calculation (SCAN) on a PBEsol-optimized structure of InTe2Br.

The calculation puts the total magnetization at 0.00 μB per cell. Its formation energy from raw total energies is -0.7 eV/f.u. Its energy above the most stable polymorph in this dataset is 0.87 kcal/mol of atoms.

a = 4.381 Å, b = 4.381 Å, c = 25.837 Å
α = 90.00°, β = 90.00°, γ = 120.00°
Element x y z (fractional)
1 In 0.000 0.000 0.000
2 In 0.333 0.667 0.667
3 In 0.667 0.333 0.333
4 Te 0.000 0.000 0.393
5 Te 0.000 0.000 0.607
6 Te 0.333 0.667 0.060
7 Te 0.333 0.667 0.273
8 Te 0.667 0.333 0.727
9 Te 0.667 0.333 0.940
10 Br 0.000 0.000 0.500
11 Br 0.333 0.667 0.167
12 Br 0.667 0.333 0.833

=====

Entry 7:
VASP calculation (SCAN) on a PBEsol-optimized structure of Ti3InBr.

The calculation puts the total magnetization at 6.03 μB per cell. Its formation energy from raw total energies is 4.4 eV/f.u.

a = 5.135 Å, b = 5.135 Å, c = 5.135 Å
α = 90.00°, β = 90.00°, γ = 90.00°
Element x y z (fractional)
1 Ti 0.000 0.000 0.500
2 Ti 0.000 0.500 0.000
3 Ti 0.500 0.000 0.000
4 In 0.000 0.000 0.000
5 Br 0.500 0.500 0.500

=====

Entry 8:
VASP calculation (SCAN) on a PBEsol-optimized structure of Ti2In3Br9.

The calculation puts the total magnetization at 4.00 μB per cell. Its formation energy from raw total energies is -15.0 eV/f.u.

a = 7.232 Å, b = 7.232 Å, c = 18.008 Å
α = 90.00°, β = 90.00°, γ = 120.00°
Element x y z (fractional)
1 Ti 0.333 0.667 0.000
2 Ti 0.333 0.667 0.169
3 Ti 0.667 0.333 0.500
4 Ti 0.667 0.333 0.669
5 In 0.000 0.000 0.050
6 In 0.000 0.000 0.550
7 In 0.333 0.667 0.379
8 In 0.333 0.667 0.779
9 In 0.667 0.333 0.279
10 In 0.667 0.333 0.879
11 Br 0.000 0.500 0.083
12 Br 0.000 0.500 0.583
13 Br 0.169 0.339 0.247
14 Br 0.169 0.339 0.919
15 Br 0.169 0.831 0.247
16 Br 0.169 0.831 0.919
17 Br 0.339 0.169 0.419
18 Br 0.339 0.169 0.747
19 Br 0.500 0.000 0.083
20 Br 0.500 0.000 0.583
21 Br 0.500 0.500 0.083
22 Br 0.500 0.500 0.583
23 Br 0.661 0.831 0.247
24 Br 0.661 0.831 0.919
25 Br 0.831 0.169 0.419
26 Br 0.831 0.169 0.747
27 Br 0.831 0.661 0.419
28 Br 0.831 0.661 0.747

=====

Entry 9:
VASP calculation (SCAN) on a PBEsol-optimized structure of Tl2InBr.

The calculation puts the total magnetization at 0.00 μB per cell. Its formation energy from raw total energies is -1.2 eV/f.u.

a = 3.629 Å, b = 5.215 Å, c = 6.149 Å
α = 90.00°, β = 90.00°, γ = 90.00°
Element x y z (fractional)
1 Tl 0.000 0.000 0.000
2 Tl 0.500 0.500 0.499
3 In 0.500 0.500 0.999
4 Br 0.000 0.000 0.500

=====

Entry 10:
VASP calculation (SCAN) on a PBEsol-optimized structure of In2WBr2.

The calculation puts the total magnetization at 1.13 μB per cell. Its formation energy from raw total energies is 5.0 eV/f.u.

a = 3.691 Å, b = 3.691 Å, c = 18.747 Å
α = 90.00°, β = 90.00°, γ = 90.00°
Element x y z (fractional)
1 In 0.000 0.000 0.075
2 In 0.000 0.000 0.925
3 In 0.500 0.500 0.425
4 In 0.500 0.500 0.575
5 W 0.000 0.000 0.500
6 W 0.500 0.500 0.000
7 Br 0.000 0.500 0.250
8 Br 0.000 0.500 0.750
9 Br 0.500 0.000 0.250
10 Br 0.500 0.000 0.750

=====

Entry 11:
VASP calculation (SCAN) on a PBEsol-optimized structure of Y2InWBr.

The calculation puts the total magnetization at 1.58 μB per cell. Its formation energy from raw total energies is 4.6 eV/f.u.

a = 5.113 Å, b = 5.113 Å, c = 5.149 Å
α = 90.00°, β = 90.00°, γ = 90.00°
Element x y z (fractional)
1 Y 0.000 0.500 0.000
2 Y 0.500 0.000 0.000
3 In 0.000 0.000 0.500
4 W 0.500 0.500 0.500
5 Br 0.000 0.000 0.000

=====

Entry 12:
VASP calculation (SCAN) on a PBEsol-optimized structure of YInBr.

The calculation puts the total magnetization at 0.00 μB per cell. Its formation energy from raw total energies is -0.7 eV/f.u.

a = 6.914 Å, b = 6.914 Å, c = 6.914 Å
α = 90.00°, β = 90.00°, γ = 90.00°
Element x y z (fractional)
1 Y 0.000 0.000 0.000
2 Y 0.000 0.500 0.500
3 Y 0.500 0.000 0.500
4 Y 0.500 0.500 0.000
5 In 0.000 0.000 0.500
6 In 0.000 0.500 0.000
7 In 0.500 0.000 0.000
8 In 0.500 0.500 0.500
9 Br 0.250 0.250 0.750
10 Br 0.250 0.750 0.250
11 Br 0.750 0.250 0.250
12 Br 0.750 0.750 0.750

=====

Entry 13:
VASP calculation (SCAN) on a PBEsol-optimized structure of YIn2Br.

The calculation puts the total magnetization at 0.00 μB per cell. Its formation energy from raw total energies is -2.1 eV/f.u. Its energy above the most stable polymorph in this dataset is 0.00 kcal/mol of atoms.

a = 3.593 Å, b = 5.225 Å, c = 5.642 Å
α = 90.00°, β = 90.00°, γ = 90.00°
Element x y z (fractional)
1 Y 0.000 0.000 0.000
2 In 0.500 0.500 0.246
3 In 0.500 0.500 0.754
4 Br 0.000 0.000 0.500

=====

Entry 14:
VASP calculation (SCAN) on a PBEsol-optimized structure of Y2InBr.

The calculation puts the total magnetization at 0.00 μB per cell. Its formation energy from raw total energies is -2.1 eV/f.u. Its energy above the most stable polymorph in this dataset is 5.63 kcal/mol of atoms.

a = 4.315 Å, b = 4.315 Å, c = 11.182 Å
α = 90.00°, β = 90.00°, γ = 90.00°
Element x y z (fractional)
1 Y 0.000 0.000 0.000
2 Y 0.000 0.500 0.250
3 Y 0.500 0.000 0.750
4 Y 0.500 0.500 0.500
5 In 0.000 0.500 0.750
6 In 0.500 0.000 0.250
7 Br 0.000 0.000 0.500
8 Br 0.500 0.500 0.000

=====

Entry 15:
VASP calculation (SCAN) on a PBEsol-optimized structure of Y2InBr.

The calculation puts the total magnetization at 1.88 μB per cell. Its formation energy from raw total energies is -3.1 eV/f.u. Its energy above the most stable polymorph in this dataset is 0.00 kcal/mol of atoms.

a = 7.722 Å, b = 7.735 Å, c = 3.378 Å
α = 90.00°, β = 92.05°, γ = 90.00°
Element x y z (fractional)
1 Y 0.250 0.250 0.000
2 Y 0.250 0.750 0.000
3 Y 0.750 0.250 0.000
4 Y 0.750 0.750 0.000
5 In 0.000 0.000 0.500
6 In 0.500 0.500 0.500
7 Br 0.000 0.500 0.500
8 Br 0.500 0.000 0.500

=====

Entry 16:
VASP calculation (SCAN) on a PBEsol-optimized structure of YIn2Br.

The calculation puts the total magnetization at 0.00 μB per cell. Its formation energy from raw total energies is -0.3 eV/f.u. Its energy above the most stable polymorph in this dataset is 10.47 kcal/mol of atoms.

a = 7.565 Å, b = 7.565 Å, c = 7.565 Å
α = 90.00°, β = 90.00°, γ = 90.00°
Element x y z (fractional)
1 Y 0.000 0.000 0.000
2 Y 0.000 0.500 0.500
3 Y 0.500 0.000 0.500
4 Y 0.500 0.500 0.000
5 In 0.250 0.250 0.250
6 In 0.250 0.250 0.750
7 In 0.250 0.750 0.250
8 In 0.250 0.750 0.750
9 In 0.750 0.250 0.250
10 In 0.750 0.250 0.750
11 In 0.750 0.750 0.250
12 In 0.750 0.750 0.750
13 Br 0.000 0.000 0.500
14 Br 0.000 0.500 0.000
15 Br 0.500 0.000 0.000
16 Br 0.500 0.500 0.500

=====

Entry 17:
VASP calculation (SCAN) on a PBEsol-optimized structure of ZnInBr.

The calculation puts the total magnetization at 0.00 μB per cell. Its formation energy from raw total energies is -0.3 eV/f.u. Its energy above the most stable polymorph in this dataset is 1.42 kcal/mol of atoms.

a = 4.685 Å, b = 5.303 Å, c = 11.258 Å
α = 90.00°, β = 90.00°, γ = 90.00°
Element x y z (fractional)
1 Zn 0.000 0.000 0.000
2 Zn 0.000 0.500 0.500
3 Zn 0.500 0.000 0.500
4 Zn 0.500 0.500 0.000
5 In 0.000 0.000 0.645
6 In 0.000 0.500 0.145
7 In 0.500 0.000 0.145
8 In 0.500 0.500 0.645
9 Br 0.000 0.000 0.350
10 Br 0.000 0.500 0.850
11 Br 0.500 0.000 0.850
12 Br 0.500 0.500 0.350

=====

Entry 18:
VASP calculation (SCAN) on a PBEsol-optimized structure of ZnInBr2.

The calculation puts the total magnetization at 0.00 μB per cell. Its formation energy from raw total energies is -0.8 eV/f.u. Its energy above the most stable polymorph in this dataset is 5.84 kcal/mol of atoms.

a = 3.719 Å, b = 4.921 Å, c = 5.489 Å
α = 90.00°, β = 90.00°, γ = 90.00°
Element x y z (fractional)
1 Zn 0.000 0.000 0.000
2 In 0.000 0.500 0.500
3 Br 0.500 0.000 0.500
4 Br 0.500 0.500 0.000

=====

Entry 19:
VASP calculation (SCAN) on a PBEsol-optimized structure of ZnInBr.

The calculation puts the total magnetization at 0.00 μB per cell. Its formation energy from raw total energies is 0.0 eV/f.u. Its energy above the most stable polymorph in this dataset is 3.80 kcal/mol of atoms.

a = 6.976 Å, b = 6.976 Å, c = 6.976 Å
α = 90.00°, β = 90.00°, γ = 90.00°
Element x y z (fractional)
1 Zn 0.000 0.000 0.000
2 Zn 0.000 0.500 0.500
3 Zn 0.500 0.000 0.500
4 Zn 0.500 0.500 0.000
5 In 0.250 0.250 0.250
6 In 0.250 0.750 0.750
7 In 0.750 0.250 0.750
8 In 0.750 0.750 0.250
9 Br 0.250 0.250 0.750
10 Br 0.250 0.750 0.250
11 Br 0.750 0.250 0.250
12 Br 0.750 0.750 0.750

=====

Entry 20:
VASP calculation (SCAN) on a PBEsol-optimized structure of ZnInBr.

The calculation puts the total magnetization at 0.00 μB per cell. Its formation energy from raw total energies is -0.5 eV/f.u. Its energy above the most stable polymorph in this dataset is 0.00 kcal/mol of atoms.

a = 4.093 Å, b = 4.093 Å, c = 5.292 Å
α = 90.00°, β = 90.00°, γ = 120.00°
Element x y z (fractional)
1 Zn 0.000 0.000 0.000
2 In 0.333 0.667 0.283
3 Br 0.667 0.333 0.686